Below is a relaxed structure of Mn2ZnF6, with properties calculated at the PBE with a Hubbard U level.

Computed properties:
Total moment: 20.0 μB/cell
Distance to the lowest polymorph of the same formula: 0.000 eV/atom
Theoretical density: 4.04 Mg/m³

The structure in CIF format:
```
data_Mn2ZnF6
_cell_length_a 4.908
_cell_length_b 4.908
_cell_length_c 9.873
_cell_angle_alpha 90.00
_cell_angle_beta 90.00
_cell_angle_gamma 90.00
_symmetry_space_group_name_H-M 'P 42/m n m'
_symmetry_Int_Tables_number 136
_symmetry_space_group_name_Hall '-P 4n 2n'
loop_
_atom_site_label
_atom_site_type_symbol
_atom_site_fract_x
_atom_site_fract_y
_atom_site_fract_z
_atom_site_occupancy
Mn1 Mn 0.000 0.000 0.166 1
Zn1 Zn 0.000 0.000 0.500 1
F1 F 0.193 0.193 0.338 1
F2 F 0.202 0.202 0.000 1
```